1.
This record from Alexandria via LeMat-Bulk describes an optimized crystal structure of MgFeSiO4. The functional is PBE with a Hubbard U.

Calculated values
The density of states at the Fermi level comes out at 0.00 states/eV/cell. Its crystal system is orthorhombic. For the total energy, the calculation gives -7.07 eV per atom. As for the excess energy over the best structure of this formula in the dataset: 0.1 kJ/mol of atoms.

a b c (Å): 4.8738 6.0671 10.4439
angles (deg): 90.00 90.00 90.00
Closest atoms and distances in Å follow each position.
Sites, in units of the cell vectors:
O  0.2034  0.2500  0.5502  1 Si 1.67
O  0.7156  0.9654  0.1670  1 Si 1.65
Mg  0.0072  0.7500  0.2778  6 O 2.07-2.25
O  0.2844  0.4654  0.8330  1 Si 1.65
O  0.2333  0.7500  0.0973  1 Si 1.65
O  0.7333  0.2500  0.4027  1 Si 1.65
Mg  0.9928  0.2500  0.7222  6 O 2.07-2.25
Si  0.0710  0.2500  0.4024  4 O 1.65-1.67
Si  0.4290  0.2500  0.9024  4 O 1.65-1.67
O  0.2667  0.7500  0.5973  1 Si 1.65
Mg  0.4928  0.7500  0.7778  6 O 2.07-2.25
O  0.2156  0.4654  0.3330  1 Si 1.65
O  0.7844  0.9654  0.6670  1 Si 1.65
Si  0.9290  0.7500  0.5976  4 O 1.65-1.67
Fe  0.0000  0.0000  0.0000  6 O 2.15-2.24
Mg  0.5072  0.2500  0.2222  6 O 2.07-2.25
Si  0.5710  0.7500  0.0976  4 O 1.65-1.67
O  0.7966  0.7500  0.4498  1 Si 1.67
O  0.2156  0.0346  0.3330  1 Si 1.65
O  0.7156  0.5346  0.1670  1 Si 1.65
O  0.2844  0.0346  0.8330  1 Si 1.65
O  0.7667  0.2500  0.9027  1 Si 1.65
Fe  0.0000  0.5000  0.0000  6 O 2.15-2.24
Fe  0.5000  0.0000  0.5000  6 O 2.15-2.24
O  0.7034  0.7500  0.9498  1 Si 1.67
O  0.7844  0.5346  0.6670  1 Si 1.65
O  0.2966  0.2500  0.0502  1 Si 1.67
Fe  0.5000  0.5000  0.5000  6 O 2.15-2.24

***

2.
This record from Alexandria via LeMat-Bulk describes an optimized crystal structure of MgFeSiO4. The functional is PBE with a Hubbard U.

Calculated values
The density of states at the Fermi level comes out at 0.00 states/eV/cell. Its crystal system is orthorhombic. For the total energy, the calculation gives -7.07 eV per atom. As for the excess energy over the best structure of this formula in the dataset: 0.0 kJ/mol of atoms.

a b c (Å): 4.8118 6.1405 10.5086
angles (deg): 90.00 90.00 90.00
Closest atoms and distances in Å follow each position.
Sites, in units of the cell vectors:
O  0.2286  0.2500  0.4498  1 Si 1.67
O  0.7714  0.7500  0.5502  1 Si 1.67
O  0.2360  0.7500  0.9132  1 Si 1.63
O  0.2639  0.7500  0.4132  1 Si 1.63
Si  0.5747  0.7500  0.9074  4 O 1.63-1.67
Fe  0.0143  0.7500  0.7217  6 O 2.11-2.30
O  0.2714  0.2500  0.9498  1 Si 1.67
O  0.7800  0.5347  0.3390  1 Si 1.66
Si  0.0747  0.2500  0.5926  4 O 1.63-1.67
O  0.7200  0.9653  0.8390  1 Si 1.66
O  0.2201  0.0347  0.6610  1 Si 1.66
O  0.2201  0.4653  0.6610  1 Si 1.66
O  0.7360  0.2500  0.5868  1 Si 1.63
O  0.7640  0.2500  0.0868  1 Si 1.63
Si  0.9253  0.7500  0.4074  4 O 1.63-1.67
O  0.2799  0.4653  0.1610  1 Si 1.66
Fe  0.9858  0.2500  0.2783  6 O 2.11-2.30
O  0.7799  0.9653  0.3390  1 Si 1.66
O  0.2799  0.0347  0.1610  1 Si 1.66
Mg  0.5000  0.5000  0.5000  6 O 2.08-2.17
Fe  0.4857  0.7500  0.2217  6 O 2.11-2.30
O  0.7201  0.5347  0.8390  1 Si 1.66
Fe  0.5143  0.2500  0.7783  6 O 2.11-2.30
Mg  0.0000  0.0000  0.0000  6 O 2.08-2.17
O  0.7286  0.7500  0.0502  1 Si 1.67
Si  0.4253  0.2500  0.0926  4 O 1.63-1.67
Mg  0.5000  0.0000  0.5000  6 O 2.08-2.17
Mg  0.0000  0.5000  0.0000  6 O 2.08-2.17

***

3.
This record from Alexandria via LeMat-Bulk describes an optimized crystal structure of Mg6FeSiO8. The functional is PBE with a Hubbard U.

Calculated values
The density of states at the Fermi level comes out at 0.03 states/eV/cell. Its crystal system is tetragonal. For the total energy, the calculation gives -5.98 eV per atom. As for the excess energy over the best structure of this formula in the dataset: 0.0 kJ/mol of atoms.

a b c (Å): 4.3424 4.3424 8.6335
angles (deg): 90.00 90.00 90.00
Closest atoms and distances in Å follow each position.
Sites, in units of the cell vectors:
Mg  0.5000  0.5000  0.5000  6 O 2.05-2.17
Fe  0.0000  0.0000  0.0000  6 O 2.17
O  0.0000  0.5000  0.0000  2 Si 2.17, 2 Fe 2.17, 2 Mg 2.18
Si  0.5000  0.5000  0.0000  6 O 2.17-2.27
O  0.5000  0.5000  0.7376  5 Mg 2.05-2.17, 1 Si 2.27
Mg  0.5000  0.0000  0.7473  6 O 2.13-2.18
O  0.0000  0.0000  0.7484  5 Mg 2.14-2.17, 1 Fe 2.17
O  0.5000  0.0000  0.5000  6 Mg 2.13-2.17
Mg  0.5000  0.0000  0.2527  6 O 2.13-2.18
Mg  0.0000  0.5000  0.2527  6 O 2.13-2.18
O  0.0000  0.5000  0.5000  6 Mg 2.13-2.17
O  0.0000  0.0000  0.2516  5 Mg 2.14-2.17, 1 Fe 2.17
O  0.5000  0.0000  0.0000  2 Fe 2.17, 2 Si 2.17, 2 Mg 2.18
Mg  0.0000  0.0000  0.5000  6 O 2.14-2.17
Mg  0.0000  0.5000  0.7473  6 O 2.13-2.18
O  0.5000  0.5000  0.2624  5 Mg 2.05-2.17, 1 Si 2.27

***

4.
This record from Alexandria via LeMat-Bulk describes an optimized crystal structure of Mg6FeSiO8. The functional is PBE with a Hubbard U.

Calculated values
The density of states at the Fermi level comes out at 1.25 states/eV/cell. Its crystal system is tetragonal. For the total energy, the calculation gives -5.95 eV per atom. As for the excess energy over the best structure of this formula in the dataset: 3.2 kJ/mol of atoms.

a b c (Å): 4.3107 4.3107 8.5255
angles (deg): 90.00 90.00 90.00
Closest atoms and distances in Å follow each position.
Sites, in units of the cell vectors:
Mg  0.0000  0.5000  0.7582  6 O 2.06-2.20
O  0.5000  0.0000  0.5000  4 Mg 2.16-2.20, 2 Si 2.16
O  0.0000  0.0000  0.7149  1 Si 1.83
O  0.0000  0.0000  0.2851  1 Si 1.83
O  0.0000  0.5000  0.5000  4 Mg 2.16-2.20, 2 Si 2.16
O  0.5000  0.5000  0.7487  6 Mg 2.12-2.16
Fe  0.0000  0.0000  0.0000  4 O 2.16
Mg  0.5000  0.5000  0.0000  6 O 2.14-2.16
O  0.0000  0.5000  0.0000  4 Mg 2.06-2.16, 2 Fe 2.16
O  0.5000  0.0000  0.0000  4 Mg 2.06-2.16, 2 Fe 2.16
O  0.5000  0.5000  0.2513  6 Mg 2.12-2.16
Mg  0.5000  0.5000  0.5000  6 O 2.12-2.16
Si  0.0000  0.0000  0.5000  2 O 1.83
Mg  0.0000  0.5000  0.2418  6 O 2.06-2.20
Mg  0.5000  0.0000  0.2418  6 O 2.06-2.20
Mg  0.5000  0.0000  0.7582  6 O 2.06-2.20

***

5.
This record from Alexandria via LeMat-Bulk describes an optimized crystal structure of MgFeSi2O6. The functional is PBE with a Hubbard U.

Calculated values
The density of states at the Fermi level comes out at 0.00 states/eV/cell. Its crystal system is monoclinic. For the total energy, the calculation gives -7.31 eV per atom. As for the excess energy over the best structure of this formula in the dataset: 0.1 kJ/mol of atoms.

a b c (Å): 5.4170 6.7994 6.7994
angles (deg): 82.94 73.58 73.58
Closest atoms and distances in Å follow each position.
Sites, in units of the cell vectors:
Si  0.3038  0.7944  0.6186  4 O 1.61-1.68
Fe  0.2500  0.9015  0.0985  6 O 2.09-2.26
O  0.8522  0.3776  0.8583  1 Si 1.61
O  0.6747  0.7840  0.9748  1 Si 1.63
O  0.1478  0.6224  0.1417  1 Si 1.61
O  0.3790  0.3189  0.3752  2 Si 1.67-1.68
Si  0.6962  0.2056  0.3814  4 O 1.61-1.68
Mg  0.7500  0.7397  0.2603  4 O 2.03-2.06
O  0.6478  0.1417  0.6224  1 Si 1.61
Mg  0.2500  0.2603  0.7397  4 O 2.03-2.06
Si  0.1962  0.3814  0.2056  4 O 1.61-1.68
O  0.8253  0.0252  0.2160  1 Si 1.63
Fe  0.7500  0.0985  0.9015  6 O 2.09-2.26
O  0.3253  0.2160  0.0252  1 Si 1.63
O  0.1210  0.6248  0.6811  2 Si 1.67-1.68
Si  0.8038  0.6186  0.7944  4 O 1.61-1.68
O  0.8790  0.3752  0.3189  2 Si 1.67-1.68
O  0.3522  0.8583  0.3776  1 Si 1.61
O  0.6210  0.6811  0.6248  2 Si 1.67-1.68
O  0.1747  0.9748  0.7840  1 Si 1.63

***

6.
This record from Alexandria via LeMat-Bulk describes an optimized crystal structure of Sr2MgFe2O6. The functional is PBE with a Hubbard U.

Calculated values
The density of states at the Fermi level comes out at 5.18 states/eV/cell. Its crystal system is trigonal. For the total energy, the calculation gives -6.09 eV per atom.

a b c (Å): 5.8496 5.8496 6.4164
angles (deg): 62.88 62.88 60.00
Closest atoms and distances in Å follow each position.
Sites, in units of the cell vectors:
O  0.7595  0.7595  0.2554  1 Fe 1.80
Fe  0.5769  0.5769  0.2693  3 O 1.80
Sr  0.7921  0.7921  0.6236  3 O 2.55
Fe  0.4231  0.4231  0.7307  3 O 1.80
O  0.7595  0.2257  0.2554  1 Fe 1.80
Mg  0.0000  0.0000  0.0000  6 O 2.10
O  0.2405  0.7743  0.7446  1 Fe 1.80
Sr  0.2079  0.2079  0.3764  3 O 2.55
O  0.2257  0.7595  0.2554  1 Fe 1.80
O  0.7743  0.2405  0.7446  1 Fe 1.80
O  0.2405  0.2405  0.7446  1 Fe 1.80

***

7.
This record from Alexandria via LeMat-Bulk describes an optimized crystal structure of Mg2TaFeO6. The functional is PBE with a Hubbard U.

Calculated values
The density of states at the Fermi level comes out at 0.00 states/eV/cell. Its crystal system is monoclinic. For the total energy, the calculation gives -7.45 eV per atom. As for the excess energy over the best structure of this formula in the dataset: 6.7 kJ/mol of atoms.

a b c (Å): 7.6061 5.2049 5.4020
angles (deg): 89.59 90.00 90.00
Closest atoms and distances in Å follow each position.
Sites, in units of the cell vectors:
O  0.4328  0.3170  0.6766  1 Ta 1.98, 1 Fe 2.06, 1 Mg 2.10
Ta  0.5000  0.0000  0.5000  6 O 1.98-2.05
O  0.0669  0.1712  0.1863  1 Ta 1.98, 1 Fe 2.04, 1 Mg 2.06
O  0.0672  0.3170  0.6766  1 Ta 1.98, 1 Fe 2.06, 1 Mg 2.10
O  0.7500  0.3751  0.9292  2 Mg 2.02-2.09, 2 Fe 2.05
O  0.5672  0.6830  0.3234  1 Ta 1.98, 1 Fe 2.06, 1 Mg 2.10
O  0.4331  0.1712  0.1863  1 Ta 1.98, 1 Fe 2.04, 1 Mg 2.06
O  0.7500  0.1301  0.4373  2 Ta 2.05, 2 Mg 2.10-2.26
O  0.9328  0.6830  0.3234  1 Ta 1.98, 1 Fe 2.06, 1 Mg 2.10
Mg  0.7500  0.5097  0.5641  4 O 2.09-2.10
Ta  0.0000  0.0000  0.5000  6 O 1.98-2.05
Mg  0.7500  0.0028  0.0378  4 O 2.02-2.26
O  0.5669  0.8288  0.8137  1 Ta 1.98, 1 Fe 2.04, 1 Mg 2.06
O  0.9331  0.8288  0.8137  1 Ta 1.98, 1 Fe 2.04, 1 Mg 2.06
Fe  0.0000  0.5000  0.0000  6 O 2.04-2.06
Mg  0.2500  0.9972  0.9622  4 O 2.02-2.26
Fe  0.5000  0.5000  0.0000  6 O 2.04-2.06
O  0.2500  0.8699  0.5627  2 Ta 2.05, 2 Mg 2.10-2.26
Mg  0.2500  0.4903  0.4359  4 O 2.09-2.10
O  0.2500  0.6249  0.0708  2 Mg 2.02-2.09, 2 Fe 2.05

***

8.
This record from Alexandria via LeMat-Bulk describes an optimized crystal structure of Mg2TaFeO6. The functional is PBE with a Hubbard U.

Calculated values
The density of states at the Fermi level comes out at 0.00 states/eV/cell. Its crystal system is trigonal. For the total energy, the calculation gives -7.52 eV per atom. As for the excess energy over the best structure of this formula in the dataset: 0.0 kJ/mol of atoms.

a b c (Å): 5.1924 5.1923 5.5509
angles (deg): 62.11 62.11 59.99
Closest atoms and distances in Å follow each position.
Sites, in units of the cell vectors:
Ta  0.3145  0.3144  0.0567  6 O 1.94-2.09
O  0.9402  0.5966  0.2529  1 Ta 1.94, 1 Mg 2.07, 1 Fe 2.17
O  0.2104  0.9402  0.2528  1 Ta 1.94, 1 Mg 2.07, 1 Fe 2.17
O  0.7040  0.1052  0.7583  1 Fe 1.97, 2 Mg 2.05-2.18, 1 Ta 2.09
Fe  0.8110  0.8110  0.5669  6 O 1.97-2.17
O  0.1053  0.4324  0.7583  1 Fe 1.97, 2 Mg 2.05-2.18, 1 Ta 2.09
O  0.5965  0.2104  0.2528  1 Ta 1.94, 1 Mg 2.07, 1 Fe 2.17
Mg  0.0247  0.0247  0.9259  6 O 2.05-2.21
Mg  0.5226  0.5226  0.4323  6 O 2.07-2.18
O  0.4324  0.7040  0.7583  1 Fe 1.97, 2 Mg 2.05-2.18, 1 Ta 2.09